(1)
# YAgPt3

YAgPt3 after structural relaxation (GGA-PBE, Alexandria).

Computed properties:
ΔH_f (0 K): 904.6 meV per atom
relative energy among the computed polymorphs: 0.457 eV per atom
electronic total energy: -22.915 eV per cell

Lattice parameters (Å, degrees): 5.1036 5.1036 5.1036 90.00 90.00 90.00
Space group Pm-3m (No. 221)
One atom of each set of equivalent atoms:
Y  0.0000  0.0000  0.0000
Ag  0.5000  0.5000  0.5000
Pt  0.0000  0.0000  0.5000

---

(2)
# Y4AgPt2

Y4AgPt2 after structural relaxation (GGA-PBE, Alexandria).

Computed properties:
ΔH_f (0 K): -808.2 meV per atom
relative energy among the computed polymorphs: 0.007 eV per atom
electronic total energy: -139.339 eV per cell

Lattice parameters (Å, degrees): 4.9728 4.9728 24.1235 90.00 90.00 120.00
Space group R-3m (No. 166, hexagonal axes)
One atom of each set of equivalent atoms:
Y  0.0000  0.0000  0.1214
Y  0.0000  0.0000  0.3721
Ag  0.0000  0.0000  0.5000
Pt  0.0000  0.0000  0.2508

---

(3)
# Y2AgPt

Y2AgPt after structural relaxation (GGA-PBE, Alexandria).

Computed properties:
ΔH_f (0 K): -619.1 meV per atom
electronic total energy: -24.297 eV per cell

Lattice parameters (Å, degrees): 4.0805 4.0805 5.9899 90.00 90.00 90.00
Space group P4mm (No. 99)
One atom of each set of equivalent atoms:
Y  0.0000  0.0000  0.0000
Y  0.5000  0.5000  0.4003
Ag  0.0000  0.0000  0.5158
Pt  0.5000  0.5000  0.9203

---

(4)
# Y7Ag2Pt2

Y7Ag2Pt2 after structural relaxation (GGA-PBE, Alexandria).

Computed properties:
ΔH_f (0 K): -446.3 meV per atom
electronic total energy: -135.884 eV per cell

Lattice parameters (Å, degrees): 8.0237 10.9216 7.1531 90.00 90.00 90.00
Space group Cmmm (No. 65)
One atom of each set of equivalent atoms:
Y  0.0000  0.0000  0.0000
Y  0.0000  0.5000  0.2522
Y  0.2500  0.2500  0.2583
Ag  0.1805  0.0000  0.5000
Pt  0.0000  0.2857  0.0000

---

(5)
# Y4AgPt

Y4AgPt after structural relaxation (GGA-PBE, Alexandria).

Computed properties:
ΔH_f (0 K): -591.4 meV per atom
relative energy among the computed polymorphs: 0.000 eV per atom
electronic total energy: -612.745 eV per cell

Lattice parameters (Å, degrees): 13.6013 13.6013 13.6013 90.00 90.00 90.00
Space group F-43m (No. 216)
One atom of each set of equivalent atoms:
Y  0.0000  0.0000  0.1852
Y  0.0611  0.2500  0.7500
Y  0.1063  0.1063  0.3937
Ag  0.1670  0.1670  0.1670
Pt  0.1055  0.1055  0.6055

---

(6)
# YAgPt3

YAgPt3 after structural relaxation (GGA-PBE, Alexandria).

Computed properties:
ΔH_f (0 K): 447.7 meV per atom
relative energy among the computed polymorphs: 0.000 eV per atom
electronic total energy: -25.199 eV per cell

Lattice parameters (Å, degrees): 4.8829 4.8829 4.8829 90.00 90.00 90.00
Space group Pm-3m (No. 221)
One atom of each set of equivalent atoms:
Y  0.0000  0.0000  0.0000
Ag  0.5000  0.5000  0.5000
Pt  0.0000  0.5000  0.5000

---

(7)
# YAg2Pt

YAg2Pt after structural relaxation (GGA-PBE, Alexandria).

Computed properties:
ΔH_f (0 K): -376.8 meV per atom
relative energy among the computed polymorphs: 0.180 eV per atom
electronic total energy: -78.859 eV per cell

Lattice parameters (Å, degrees): 6.7956 6.7956 6.7956 90.00 90.00 90.00
Space group Fm-3m (No. 225)
One atom of each set of equivalent atoms:
Y  0.0000  0.0000  0.0000
Ag  0.2500  0.2500  0.2500
Pt  0.0000  0.0000  0.5000

---

(8)
# Y4AgPt

Y4AgPt after structural relaxation (GGA-PBE, Alexandria).

Computed properties:
ΔH_f (0 K): 423.4 meV per atom
relative energy among the computed polymorphs: 1.015 eV per atom
electronic total energy: -128.832 eV per cell

Lattice parameters (Å, degrees): 8.5724 8.5724 8.5724 90.00 90.00 90.00
Space group F-43m (No. 216)
One atom of each set of equivalent atoms:
Y  0.1241  0.1241  0.3759
Ag  0.0000  0.0000  0.0000
Pt  0.2500  0.2500  0.7500

---

(9)
# YAg2Pt

YAg2Pt after structural relaxation (GGA-PBE, Alexandria).

Computed properties:
ΔH_f (0 K): -465.5 meV per atom
relative energy among the computed polymorphs: 0.091 eV per atom
electronic total energy: -20.069 eV per cell

Lattice parameters (Å, degrees): 4.0517 4.0649 4.8160 90.00 90.00 90.00
Space group Pmmm (No. 47)
One atom of each set of equivalent atoms:
Y  0.0000  0.0000  0.0000
Ag  0.0000  0.5000  0.5000
Ag  0.5000  0.0000  0.5000
Pt  0.5000  0.5000  0.0000

---

(10)
# Y3AgPt

Y3AgPt after structural relaxation (GGA-PBE, Alexandria).

Computed properties:
ΔH_f (0 K): -283.7 meV per atom
relative energy among the computed polymorphs: 0.312 eV per atom
electronic total energy: -29.703 eV per cell

Lattice parameters (Å, degrees): 5.4247 5.4247 5.4247 90.00 90.00 90.00
Space group Pm-3m (No. 221)
One atom of each set of equivalent atoms:
Y  0.0000  0.0000  0.5000
Ag  0.5000  0.5000  0.5000
Pt  0.0000  0.0000  0.0000

---

(11)
# YAg2Pt6

YAg2Pt6 after structural relaxation (GGA-PBE, Alexandria).

Computed properties:
ΔH_f (0 K): 318.8 meV per atom
electronic total energy: -182.168 eV per cell

Lattice parameters (Å, degrees): 9.0026 9.0026 9.0026 90.00 90.00 90.00
Space group Fm-3m (No. 225)
One atom of each set of equivalent atoms:
Y  0.0000  0.0000  0.0000
Ag  0.2500  0.2500  0.2500
Pt  0.0000  0.0000  0.2896

---

(12)
# YAg2Pt

YAg2Pt after structural relaxation (GGA-PBE, Alexandria).

Computed properties:
ΔH_f (0 K): -556.9 meV per atom
relative energy among the computed polymorphs: 0.000 eV per atom
electronic total energy: -40.870 eV per cell

Lattice parameters (Å, degrees): 4.0933 4.0933 9.2284 90.00 90.00 90.00
Space group I4/mmm (No. 139)
One atom of each set of equivalent atoms:
Y  0.0000  0.0000  0.0000
Ag  0.0000  0.5000  0.2500
Pt  0.0000  0.0000  0.5000

---

(13)
# Y2AgPt

Y2AgPt after structural relaxation (GGA-PBE, Alexandria).

Computed properties:
ΔH_f (0 K): -783.5 meV per atom
electronic total energy: -49.908 eV per cell

Lattice parameters (Å, degrees): 4.6354 3.7962 10.7218 90.00 90.00 90.00
Space group Amm2 (No. 38)
One atom of each set of equivalent atoms:
Y  0.0000  0.0000  0.0000
Y  0.5000  0.0000  0.2773
Ag  0.0000  0.0000  0.7211
Pt  0.5000  0.0000  0.5532

---

(14)
# Y4Ag3Pt

Y4Ag3Pt after structural relaxation (GGA-PBE, Alexandria).

Computed properties:
ΔH_f (0 K): -562.1 meV per atom
electronic total energy: -44.947 eV per cell

Lattice parameters (Å, degrees): 3.5993 3.5993 14.4930 90.00 90.00 90.00
Space group P4/mmm (No. 123)
One atom of each set of equivalent atoms:
Y  0.0000  0.0000  0.1152
Y  0.0000  0.0000  0.3720
Ag  0.5000  0.5000  0.2462
Ag  0.5000  0.5000  0.5000
Pt  0.5000  0.5000  0.0000

---

(15)
# Y2AgPt

Y2AgPt after structural relaxation (GGA-PBE, Alexandria).

Computed properties:
ΔH_f (0 K): -546.2 meV per atom
electronic total energy: -48.010 eV per cell

Lattice parameters (Å, degrees): 4.2302 4.2302 10.0015 90.00 90.00 90.00
Space group I-4m2 (No. 119)
One atom of each set of equivalent atoms:
Y  0.0000  0.0000  0.0000
Y  0.0000  0.5000  0.2500
Ag  0.0000  0.5000  0.7500
Pt  0.0000  0.0000  0.5000

---

(16)
# Y4AgPt2

Y4AgPt2 after structural relaxation (GGA-PBE, Alexandria).

Computed properties:
ΔH_f (0 K): -814.8 meV per atom
relative energy among the computed polymorphs: 0.000 eV per atom
electronic total energy: -185.971 eV per cell

Lattice parameters (Å, degrees): 8.5655 14.5615 7.0245 90.00 126.95 90.00
Space group Cc (No. 9)
One atom of each set of equivalent atoms:
Y  0.0000  0.0150  0.0000
Y  0.0213  0.4650  0.8453
Y  0.0607  0.2542  0.1337
Y  0.2705  0.1855  0.8403
Ag  0.2361  0.3682  0.6319
Pt  0.2684  0.0967  0.4610
Pt  0.3706  0.3444  0.1520

---

(17)
# Y3Ag2Pt3

Y3Ag2Pt3 after structural relaxation (GGA-PBE, Alexandria).

Computed properties:
ΔH_f (0 K): -841.1 meV per atom
electronic total energy: -99.891 eV per cell

Lattice parameters (Å, degrees): 8.5084 8.5084 5.6803 90.00 90.00 120.00
Space group P6_3/mcm (No. 193)
One atom of each set of equivalent atoms:
Y  0.0000  0.2942  0.2500
Ag  0.3333  0.6667  0.0000
Pt  0.0000  0.3668  0.7500

---

(18)
# YAg3Pt8

YAg3Pt8 after structural relaxation (GGA-PBE, Alexandria).

Computed properties:
ΔH_f (0 K): -340.7 meV per atom
electronic total energy: -202.297 eV per cell

Lattice parameters (Å, degrees): 5.3367 5.3367 26.1284 90.00 90.00 120.00
Space group R3m (No. 160, hexagonal axes)
One atom of each set of equivalent atoms:
Y  0.0000  0.0000  0.0000
Ag  0.0000  0.0000  0.3809
Ag  0.0000  0.0000  0.5015
Ag  0.0000  0.0000  0.8717
Pt  0.0000  0.0000  0.1875
Pt  0.0000  0.0000  0.6877
Pt  0.9996  0.4998  0.4375
Pt  0.0006  0.5003  0.9375

---

(19)
# Y3AgPt

Y3AgPt after structural relaxation (GGA-PBE, Alexandria).

Computed properties:
ΔH_f (0 K): -595.6 meV per atom
relative energy among the computed polymorphs: 0.000 eV per atom
electronic total energy: -62.524 eV per cell

Lattice parameters (Å, degrees): 5.5832 6.3818 8.3537 99.54 101.91 112.72
Space group P-1 (No. 2)
One atom of each set of equivalent atoms:
Y  0.0611  0.1932  0.3102
Y  0.2969  0.4519  0.7391
Y  0.3036  0.8148  0.1166
Ag  0.3420  0.7580  0.4830
Pt  0.2390  0.2049  0.9937

---

(20)
# Y3AgPt2

Y3AgPt2 after structural relaxation (GGA-PBE, Alexandria).

Computed properties:
ΔH_f (0 K): -920.4 meV per atom
electronic total energy: -79.694 eV per cell

Lattice parameters (Å, degrees): 5.0153 14.9134 3.5670 90.00 90.00 90.00
Space group Cmmm (No. 65)
One atom of each set of equivalent atoms:
Y  0.0000  0.0000  0.0000
Y  0.0000  0.3270  0.0000
Ag  0.0000  0.5000  0.5000
Pt  0.0000  0.1622  0.5000